! Tl2HgTe2, relaxed, DFT PBE; values from VASP
! Total DFT energy (no corrections), eV/cell: -49.903
! Spin magnetization, μB per formula unit: 0.0
! Relative energy among the computed polymorphs, meV/atom: 0
&SYSTEM
  ibrav = 0, nat = 20, ntyp = 3
/
ATOMIC_SPECIES
Tl 204.38 Tl.upf
Hg 200.59 Hg.upf
Te 127.60 Te.upf
ATOMIC_POSITIONS angstrom
Tl 0.6811 1.9438 0.1345
Tl 0.3595 2.1950 4.4108
Tl 2.8401 5.6757 8.2507
Tl 3.1618 6.7408 3.9744
Tl 6.5031 1.5369 4.5782
Tl 6.8248 2.6020 0.3019
Tl 9.3055 6.0826 4.1418
Tl 8.9838 6.3338 8.4181
Hg 3.3568 0.8019 7.0364
Hg 3.6785 3.3370 2.7601
Hg 5.9864 4.9407 5.7925
Hg 6.3081 7.4758 1.5162
Te 1.2565 4.7577 2.0845
Te 0.9348 7.6587 6.3608
Te 3.8061 0.7625 1.5067
Te 3.4845 3.3764 5.7830
Te 6.1805 4.9013 2.7696
Te 5.8588 7.5152 7.0458
Te 8.7301 0.6189 2.1918
Te 8.4084 3.5199 6.4681
CELL_PARAMETERS angstrom
10.3083 0.0000 0.0000
0.0000 8.2776 0.0000
-0.6434 0.0000 8.5526

---

! Na2CaTl, relaxed, DFT PBE; values from VASP
! Total DFT energy (no corrections), eV/cell: -7.153
! Spin magnetization, μB per formula unit: 0.0
! Energy relative to the elements, meV per atom: -37
! Relative energy among the computed polymorphs, meV/atom: 64
&SYSTEM
  ibrav = 0, nat = 4, ntyp = 3
/
ATOMIC_SPECIES
Na 22.99 Na.upf
Ca 40.08 Ca.upf
Tl 204.38 Tl.upf
ATOMIC_POSITIONS angstrom
Na 0.0000 0.0000 1.5466
Na 0.0000 0.0000 5.4864
Ca 2.1537 2.1537 3.5165
Tl 2.1537 2.1537 0.0000
CELL_PARAMETERS angstrom
4.3075 0.0000 0.0000
0.0000 4.3075 0.0000
0.0000 0.0000 7.0330